VASP calculation (PBE) on an optimized crystal structure of NaCdCuF2.

Results
- symmetry = No. 123
- total moment (μB/cell) = 0.00
- uncorrected formation energy (kJ/mol of formula units) = -422
- N(E_F) (states/eV per cell) = 1.53
- VASP energy (eV/atom) = -2.89

Cell: 4.1202 4.1202 5.4904 Å, 90.00 90.00 90.00°
Positions (direct):
Na: 0.0000 0.0000 0.0000
Cd: 0.5000 0.5000 0.0000
Cu: 0.0000 0.0000 0.5000
F: 0.0000 0.5000 0.5000
F: 0.5000 0.0000 0.5000

VASP calculation (PBE) on an optimized crystal structure of NaCdCu2F8.

Results
- symmetry = No. 82
- total moment (μB/cell) = 1.02
- uncorrected formation energy (kJ/mol of formula units) = -2080
- N(E_F) (states/eV per cell) = 4.60
- VASP energy (eV/atom) = -3.91

Cell: 6.3866 6.3866 6.3866 Å, 128.77 128.77 75.38°
Positions (direct):
Na: 0.0000 0.0000 0.0000
Cd: 0.2500 0.7500 0.5000
Cu: 0.5000 0.5000 0.0000
Cu: 0.7500 0.2500 0.5000
F: 0.0261 0.3701 0.9506
F: 0.2208 0.4080 0.5796
F: 0.3588 0.7792 0.1872
F: 0.4196 0.0756 0.0494
F: 0.5920 0.1717 0.8128
F: 0.6299 0.5804 0.6560
F: 0.8283 0.6412 0.4204
F: 0.9244 0.9739 0.3440

VASP calculation (PBE) on an optimized crystal structure of Na2CdCuF8.

Results
- symmetry = No. 2
- total moment (μB/cell) = 1.55
- uncorrected formation energy (kJ/mol of formula units) = -2243
- N(E_F) (states/eV per cell) = 5.35
- VASP energy (eV/atom) = -3.82

Cell: 4.7568 5.1937 6.8256 Å, 89.57 89.57 87.06°
Positions (direct):
Na: 0.0004 0.0005 0.2592
Na: 0.9996 0.9995 0.7408
Cd: 0.5000 0.5000 0.0000
Cu: 0.5000 0.5000 0.5000
F: 0.1676 0.7796 0.0006
F: 0.2033 0.7340 0.5003
F: 0.3378 0.3086 0.2896
F: 0.3376 0.3093 0.7090
F: 0.6624 0.6907 0.2910
F: 0.6622 0.6914 0.7104
F: 0.7967 0.2660 0.4997
F: 0.8324 0.2204 0.9994

- VASP energy of number 3 (Na2CdCuF8)?
  -3.82 eV/atom

- What is the formula in the first record?
  NaCdCuF2